Entry 1:
{"formula": "GeS2O", "functional": "GGA-PBEsol", "state": "relaxed", "cell": [[0.0000, 2.9599, 2.9599], [2.9599, 0.0000, 2.9599], [2.9599, 2.9599, 0.0000]], "species": ["Ge", "S", "S", "O"], "fractional_positions": [[0.0000, 0.0000, 0.0000], [0.2500, 0.2500, 0.2500], [0.7500, 0.7500, 0.7500], [0.5000, 0.5000, 0.5000]], "raw_formation_energy_ev_per_atom": 0.56, "sg": "No. 225"}

Entry 2:
{"formula": "KFeIr2", "functional": "GGA-PBEsol", "state": "relaxed", "cell": [[0.0000, 3.1687, 3.1687], [3.1687, 0.0000, 3.1687], [3.1687, 3.1687, 0.0000]], "species": ["K", "Fe", "Ir", "Ir"], "fractional_positions": [[0.0000, 0.0000, 0.0000], [0.2500, 0.2500, 0.2500], [0.5000, 0.5000, 0.5000], [0.7500, 0.7500, 0.7500]], "e_form_kcal_per_mol_atoms": 28.12, "sg": "No. 216", "relative_energy_ev_per_fu": 2.99}

Entry 3:
{"formula": "Er3Pt4", "functional": "GGA-PBEsol", "state": "relaxed", "cell": [[6.4438, 3.7203, 1.8751], [-6.4438, 3.7203, 1.8751], [0.0000, -7.4406, 1.8751]], "species": ["Er", "Er", "Er", "Er", "Er", "Er", "Pt", "Pt", "Pt", "Pt", "Pt", "Pt", "Pt", "Pt"], "fractional_positions": [[0.0252, 0.2787, 0.4048], [0.2787, 0.4048, 0.0252], [0.4048, 0.0252, 0.2787], [0.5952, 0.9748, 0.7213], [0.7213, 0.5952, 0.9748], [0.9748, 0.7213, 0.5952], [0.0000, 0.0000, 0.0000], [0.0623, 0.5500, 0.2275], [0.2275, 0.0623, 0.5500], [0.4500, 0.7725, 0.9377], [0.5000, 0.5000, 0.5000], [0.5500, 0.2275, 0.0623], [0.7725, 0.9377, 0.4500], [0.9377, 0.4500, 0.7725]], "e_form_kcal_per_mol_atoms": -28.24, "sg": "No. 148"}

Entry 4:
{"formula": "CaFe2Ir", "functional": "GGA-PBEsol", "state": "relaxed", "cell": [[3.2438, 0.0000, 0.0000], [0.0000, 3.2438, 0.0000], [0.0000, 0.0000, 6.3624]], "species": ["Ca", "Fe", "Fe", "Ir"], "fractional_positions": [[0.0000, 0.0000, 0.0000], [0.5000, 0.5000, 0.3277], [0.5000, 0.5000, 0.6723], [0.0000, 0.0000, 0.5000]], "e_form_kcal_per_mol_atoms": 8.42, "sg": "No. 123"}

Entry 5:
{"formula": "SrOsRu2", "functional": "GGA-PBEsol", "state": "relaxed", "cell": [[4.2371, 0.0000, 0.0000], [0.0000, 1.4056, 5.9650], [0.0000, -1.4056, 5.9650]], "species": ["Sr", "Os", "Ru", "Ru"], "fractional_positions": [[0.0000, 0.0000, 0.0000], [0.5000, 0.3269, 0.3269], [0.0000, 0.7531, 0.7531], [0.5000, 0.6454, 0.6454]], "e_form_kcal_per_mol_atoms": 16.37, "sg": "No. 38"}

Entry 6:
{"formula": "Ca2MgTc", "functional": "GGA-PBEsol", "state": "relaxed", "cell": [[-2.2873, 2.2873, 4.3001], [2.2873, -2.2873, 4.3001], [2.2873, 2.2873, -4.3001]], "species": ["Ca", "Ca", "Mg", "Tc"], "fractional_positions": [[0.0000, 0.0000, 0.0000], [0.7500, 0.2500, 0.5000], [0.5000, 0.5000, 0.0000], [0.2500, 0.7500, 0.5000]], "e_form_kcal_per_mol_atoms": 12.27, "sg": "No. 119"}

Calculated volume (Å³ per atom), listed in the same order as above: 12.97 15.91 19.27 16.74 17.76 22.50